Entry 1:
The following is a DFT calculation (GGA-PBE) of a relaxed structure of GdY2Sn4Au4.

Unit cell a=8.8660 b=8.8660 c=8.8660 alpha=150.14 beta=131.29 gamma=58.18
Element x y z (fractional)
Au 0.6275 0.3309 0.2966
Au 0.9657 0.6691 0.2966
Au 0.3725 0.6691 0.7034
Au 0.0343 0.3309 0.7034
Gd 0.0000 0.0000 0.0000
Sn 0.2145 0.2145 0.0000
Sn 0.7855 0.7855 0.0000
Sn 0.6969 0.5000 0.1969
Sn 0.3031 0.5000 0.8031
Y 0.6286 0.1286 0.5000
Y 0.3714 0.8714 0.5000

Its total energy is -4.9005 eV per atom. Its size of the total moment is 0.00 μB/atom. The calculated density comes out at 10253 kg/m³.

Entry 2:
The following is a DFT calculation (GGA-PBE) of a relaxed structure of SrGdTe3Au.

Unit cell a=8.5094 b=4.3495 c=10.5982 alpha=90.00 beta=106.07 gamma=90.00
Element x y z (fractional)
Au 0.5954 0.2500 0.0973
Au 0.4046 0.7500 0.9027
Gd 0.8119 0.7500 0.3302
Gd 0.1881 0.2500 0.6698
Sr 0.2675 0.7500 0.2113
Sr 0.7325 0.2500 0.7887
Te 0.7827 0.7500 0.0358
Te 0.5624 0.2500 0.3508
Te 0.0806 0.2500 0.3606
Te 0.9194 0.7500 0.6394
Te 0.4376 0.7500 0.6492
Te 0.2173 0.2500 0.9642

Its total energy is -4.3678 eV per atom. Its size of the total moment is 0.00 μB/atom. The calculated density comes out at 7266 kg/m³.

Entry 3:
The following is a DFT calculation (GGA-PBE) of a relaxed structure of TbGdAu6.

Unit cell a=5.0538 b=6.2052 c=5.1447 alpha=90.00 beta=90.00 gamma=90.00
Element x y z (fractional)
Au 0.5000 0.5000 0.1682
Au 0.0000 0.2426 0.3400
Au 0.0000 0.7574 0.3400
Au 0.5000 0.2577 0.6601
Au 0.5000 0.7423 0.6601
Au 0.0000 0.0000 0.8316
Gd 0.5000 0.0000 0.1553
Tb 0.0000 0.5000 0.8447

Its total energy is -4.3297 eV per atom. The calculation puts the calculated formation energy at -5.75 eV per formula unit. Its size of the total moment is 0.00 μB/atom. The calculated density comes out at 15418 kg/m³.

Entry 4:
The following is a DFT calculation (GGA-PBE) of a relaxed structure of TbGdTlAu2.

Unit cell a=3.5926 b=7.7716 c=7.7716 alpha=34.15 beta=90.00 gamma=90.00
Element x y z (fractional)
Au 0.5000 0.1954 0.1954
Au 0.5000 0.8038 0.8038
Gd 0.0000 0.3701 0.3701
Tb 0.0000 0.6305 0.6305
Tl 0.5000 0.0000 0.0000

Its total energy is -4.3105 eV per atom. Its size of the total moment is 0.00 μB/atom. The calculated density comes out at 12466 kg/m³.

Entry 5:
The following is a DFT calculation (GGA-PBE) of a relaxed structure of GdThAu.

Unit cell a=5.0650 b=5.0650 c=5.0650 alpha=60.00 beta=60.00 gamma=60.00
Element x y z (fractional)
Au 0.0000 0.0000 0.0000
Gd 0.2500 0.2500 0.2500
Th 0.7500 0.7500 0.7500

Its total energy is -5.3376 eV per atom. The calculation puts the calculated formation energy at -0.68 eV per formula unit. Its offset from the most stable computed form is 0 meV/atom. Its size of the total moment is 0.00 μB/atom. The calculated density comes out at 10595 kg/m³.

Entry 6:
The following is a DFT calculation (GGA-PBE) of a relaxed structure of GdYTlAu2.

Unit cell a=3.5934 b=7.7727 c=7.7727 alpha=34.08 beta=90.00 gamma=90.00
Element x y z (fractional)
Au 0.5000 0.1955 0.1955
Au 0.5000 0.8041 0.8041
Gd 0.0000 0.3701 0.3701
Tl 0.5000 0.0004 0.0004
Y 0.0000 0.6299 0.6299

Its total energy is -4.6801 eV per atom. Its size of the total moment is 0.00 μB/atom. The calculated density comes out at 11526 kg/m³.